1.
VASP calculation (PBE-GGA) on a relaxed In3SnP crystal.

a = 5.214 Å, b = 5.214 Å, c = 5.214 Å
α = 90.00°, β = 90.00°, γ = 90.00°
Sites, in units of the cell vectors:
In  0.000  0.000  0.500
In  0.000  0.500  0.000
In  0.500  0.000  0.000
Sn  0.500  0.500  0.500
P  0.000  0.000  0.000

- excess energy over the best structure of this formula in the dataset (meV per atom) = 0
- M_tot (μB per cell) = 0.0
- ΔH_f (0 K) (eV per atom) = 0.29

2.
VASP calculation (PBE-GGA) on a relaxed In3SnP crystal.

a = 5.540 Å, b = 5.540 Å, c = 5.540 Å
α = 90.00°, β = 90.00°, γ = 90.00°
Sites, in units of the cell vectors:
In  0.000  0.000  0.500
In  0.000  0.500  0.000
In  0.500  0.000  0.000
Sn  0.000  0.000  0.000
P  0.500  0.500  0.500

- excess energy over the best structure of this formula in the dataset (meV per atom) = 486
- M_tot (μB per cell) = 0.0
- ΔH_f (0 K) (eV per atom) = 0.78

Which value of ΔH_f (0 K) does entry 2 give?
0.78 eV per atom

Which of these has the lowest ΔH_f (0 K)?
number 1